Here is a relaxed structure of ZrFe2Si from the Alexandria database. Energies are from PBE.

Output
Formation energy (no corrections) ... -0.378 eV per atom

Lattice parameters (Å, degrees): 3.5681 3.5681 9.2106 90.00 90.00 90.00
Closest atoms and distances in Å follow each position.
Element x y z (fractional)
Zr (0.2500, 0.2500, 0.2287)  4 Si 2.71, 5 Fe 2.73-2.92
Zr (0.7500, 0.7500, 0.7713)  4 Si 2.71, 5 Fe 2.73-2.92
Fe (0.2500, 0.2500, 0.9319)  1 Si 2.46, 1 Zr 2.73
Fe (0.2500, 0.7500, 0.5000)  4 Si 2.34, 4 Fe 2.52
Fe (0.7500, 0.2500, 0.5000)  4 Si 2.34, 4 Fe 2.52
Fe (0.7500, 0.7500, 0.0681)  1 Si 2.46, 1 Zr 2.73
Si (0.2500, 0.2500, 0.6644)  5 Fe 2.34-2.46
Si (0.7500, 0.7500, 0.3356)  5 Fe 2.34-2.46



Here is a relaxed structure of Pm6Hg6Au from the Alexandria database. Energies are from PBE.

Output
Energy of formation from the pure elements ... -356 kJ/mol of formula units

Lattice parameters (Å, degrees): 6.4416 6.4416 10.4764 90.00 90.00 120.09
Closest atoms and distances in Å follow each position.
Element x y z (fractional)
Pm (0.0000, 0.0000, 0.2146)  1 Au 2.99, 6 Hg 3.24
Pm (0.0000, 0.0000, 0.7854)  1 Au 2.99, 6 Hg 3.24
Pm (0.3334, 0.6666, 0.0000)  6 Hg 3.21
Pm (0.3339, 0.6661, 0.5000)  6 Hg 3.21-3.22
Pm (0.6661, 0.3339, 0.5000)  6 Hg 3.21-3.22
Pm (0.6666, 0.3334, 0.0000)  6 Hg 3.21
Hg (0.0000, 0.5000, 0.2497)  6 Pm 3.21-3.24, 4 Hg 3.22
Hg (0.0000, 0.5000, 0.7503)  6 Pm 3.21-3.24, 4 Hg 3.22
Hg (0.5000, 0.0000, 0.2497)  6 Pm 3.21-3.24, 4 Hg 3.22
Hg (0.5000, 0.0000, 0.7503)  6 Pm 3.21-3.24, 4 Hg 3.22
Hg (0.5000, 0.5000, 0.2495)  6 Pm 3.21-3.24, 4 Hg 3.22
Hg (0.5000, 0.5000, 0.7505)  6 Pm 3.21-3.24, 4 Hg 3.22
Au (0.0000, 0.0000, 0.5000)  2 Pm 2.99



Total energy across the listed records, respectively: -64.8, -37.3 eV/cell.